[1]
Na3AgO2 | GGA-PBE | optimized geometry

abc: 6.857 6.857 6.857
angles: 132.48 72.98 128.13
Positions (direct):
Na 0.011 0.750 0.261
Na 0.250 0.250 0.000
Na 0.489 0.750 0.739
Na 0.511 0.250 0.261
Na 0.750 0.750 0.000
Na 0.989 0.250 0.739
Ag 0.000 0.500 0.500
Ag 0.500 0.000 0.500
O 0.135 0.226 0.362
O 0.365 0.726 0.091
O 0.635 0.274 0.909
O 0.865 0.774 0.638

Properties
calculated total energy: -3.82 eV/atom
E above lowest polymorph: 0.00 kJ/mol of atoms

---

[2]
YAs2Ru | GGA-PBE | optimized geometry

abc: 6.693 6.693 6.693
angles: 90.00 90.00 90.00
Positions (direct):
Y 0.000 0.000 0.000
Y 0.000 0.500 0.500
Y 0.500 0.000 0.500
Y 0.500 0.500 0.000
As 0.000 0.000 0.500
As 0.000 0.500 0.000
As 0.250 0.250 0.750
As 0.250 0.750 0.250
As 0.500 0.000 0.000
As 0.500 0.500 0.500
As 0.750 0.250 0.250
As 0.750 0.750 0.750
Ru 0.250 0.250 0.250
Ru 0.250 0.750 0.750
Ru 0.750 0.250 0.750
Ru 0.750 0.750 0.250

Properties
ΔH_f (0 K): -59.2 kJ/mol of formula units
calculated total energy: -6.41 eV/atom
E above lowest polymorph: 55.29 kJ/mol of atoms

---

[3]
TiOs2Br | GGA-PBE | optimized geometry

abc: 6.329 6.329 6.329
angles: 90.00 90.00 90.00
Positions (direct):
Ti 0.000 0.000 0.000
Ti 0.000 0.500 0.500
Ti 0.500 0.000 0.500
Ti 0.500 0.500 0.000
Os 0.250 0.250 0.250
Os 0.250 0.250 0.750
Os 0.250 0.750 0.250
Os 0.250 0.750 0.750
Os 0.750 0.250 0.250
Os 0.750 0.250 0.750
Os 0.750 0.750 0.250
Os 0.750 0.750 0.750
Br 0.000 0.000 0.500
Br 0.000 0.500 0.000
Br 0.500 0.000 0.000
Br 0.500 0.500 0.500

Properties
calculated total energy: -7.11 eV/atom
E above lowest polymorph: 0.00 kJ/mol of atoms

---

[4]
VPt | GGA-PBE | optimized geometry

abc: 7.589 7.589 7.589
angles: 90.00 90.00 90.00
Positions (direct):
V 0.138 0.138 0.138
V 0.138 0.862 0.862
V 0.362 0.362 0.638
V 0.362 0.638 0.362
V 0.638 0.362 0.362
V 0.638 0.638 0.638
V 0.862 0.138 0.862
V 0.862 0.862 0.138
Pt 0.179 0.179 0.821
Pt 0.179 0.821 0.179
Pt 0.321 0.321 0.321
Pt 0.321 0.679 0.679
Pt 0.679 0.321 0.679
Pt 0.679 0.679 0.321
Pt 0.821 0.179 0.179
Pt 0.821 0.821 0.821

Properties
ΔH_f (0 K): 133.6 kJ/mol of formula units
calculated total energy: -6.89 eV/atom

---

[5]
MgSc3Ru | GGA-PBE | optimized geometry

abc: 5.028 5.028 5.028
angles: 90.00 90.00 90.00
Positions (direct):
Mg 0.000 0.000 0.000
Sc 0.000 0.500 0.500
Sc 0.500 0.000 0.500
Sc 0.500 0.500 0.000
Ru 0.500 0.500 0.500

Properties
ΔH_f (0 K): -30.9 kJ/mol of formula units
calculated total energy: -6.04 eV/atom
E above lowest polymorph: 19.84 kJ/mol of atoms

---

[6]
CeZrAg2 | GGA-PBE | optimized geometry

abc: 7.186 7.186 7.186
angles: 90.00 90.00 90.00
Positions (direct):
Ce 0.000 0.000 0.000
Ce 0.000 0.500 0.500
Ce 0.500 0.000 0.500
Ce 0.500 0.500 0.000
Zr 0.000 0.000 0.500
Zr 0.000 0.500 0.000
Zr 0.500 0.000 0.000
Zr 0.500 0.500 0.500
Ag 0.250 0.250 0.250
Ag 0.250 0.250 0.750
Ag 0.250 0.750 0.250
Ag 0.250 0.750 0.750
Ag 0.750 0.250 0.250
Ag 0.750 0.250 0.750
Ag 0.750 0.750 0.250
Ag 0.750 0.750 0.750

Properties
ΔH_f (0 K): 21.3 kJ/mol of formula units
calculated total energy: -4.99 eV/atom
E above lowest polymorph: 7.85 kJ/mol of atoms